CdRhAu2 | GGA-PBEsol | optimized geometry

POSCAR file:
```
CdRhAu2
1.0
-0.6601 -1.5739 -3.7374
1.2665 -3.6772 1.3248
-3.9587 1.7343 2.2272
Au Cd Rh
2 1 1
Direct
0.7500 0.2500 0.5000
0.2500 0.7500 0.5000
0.5000 0.5000 0.0000
0.0000 0.0000 0.0000
```

Output
Energy of formation from the pure elements = -15 meV per atom
Final energy = -4.311 eV per atom